[1]
This record from Alexandria via LeMat-Bulk describes crystalline SrNdDy2 at its relaxed geometry. The functional is PBE-GGA.

Cell and atoms, written as POSCAR:
```
SrNdDy2
1.0
-0.912 -0.042 -3.590
1.114 -2.794 -2.161
-10.146 -7.079 0.749
Dy Sr Nd
2 1 1
direct
0.078 0.078 0.766 Dy
0.255 0.255 0.234 Dy
0.500 0.500 0.499 Sr
0.666 0.666 0.001 Nd
```

- Distance to the lowest polymorph of the same formula: 0.000 eV/atom
- SG: R3m (160)
- Formation enthalpy at 0 K: 11.63 kJ per mole of atoms

[2]
This record from Alexandria via LeMat-Bulk describes crystalline RuC at its relaxed geometry. The functional is PBE-GGA.

Cell and atoms, written as POSCAR:
```
RuC
1.0
0.022 3.161 0.528
-0.476 -2.028 2.435
9.442 -0.328 1.573
C Ru
4 4
direct
0.667 0.333 0.250 C
0.000 0.000 0.250 C
0.000 0.000 0.750 C
0.333 0.667 0.750 C
0.333 0.667 0.382 Ru
0.667 0.333 0.882 Ru
0.333 0.667 0.118 Ru
0.667 0.333 0.618 Ru
```

- Distance to the lowest polymorph of the same formula: 1.376 eV/atom
- SG: P6_3/mmc (194)
- Formation enthalpy at 0 K: 168.00 kJ per mole of atoms

[3]
This record from Alexandria via LeMat-Bulk describes crystalline Y2MgGa3Cu4 at its relaxed geometry. The functional is PBE-GGA.

Cell and atoms, written as POSCAR:
```
Y2MgGa3Cu4
1.0
4.087 0.000 0.000
0.000 4.087 0.000
0.000 0.000 10.678
Cu Ga Y Mg
4 3 2 1
direct
0.500 0.500 0.000 Cu
0.000 0.500 0.352 Cu
0.000 0.000 0.000 Cu
0.500 0.000 0.648 Cu
0.500 0.000 0.873 Ga
0.000 0.500 0.127 Ga
0.000 0.000 0.500 Ga
0.500 0.000 0.235 Y
0.000 0.500 0.765 Y
0.500 0.500 0.500 Mg
```

- SG: P-4m2 (115)
- Formation enthalpy at 0 K: -36.91 kJ per mole of atoms

[4]
This record from Alexandria via LeMat-Bulk describes crystalline La2CdSnIr at its relaxed geometry. The functional is PBE-GGA.

Cell and atoms, written as POSCAR:
```
La2CdSnIr
1.0
5.480 0.000 0.000
0.000 5.480 0.000
0.000 0.000 5.217
La Sn Ir Cd
2 1 1 1
direct
0.000 0.500 0.000 La
0.500 0.000 0.000 La
0.500 0.500 0.500 Sn
0.000 0.000 0.000 Ir
0.000 0.000 0.500 Cd
```

- Distance to the lowest polymorph of the same formula: 0.111 eV/atom
- SG: P4/mmm (123)
- Formation enthalpy at 0 K: -46.55 kJ per mole of atoms

[5]
This record from Alexandria via LeMat-Bulk describes crystalline Nd4DyY15 at its relaxed geometry. The functional is PBE-GGA.

Cell and atoms, written as POSCAR:
```
Nd4DyY15
1.0
-2.768 -4.186 0.813
1.421 -1.819 -4.530
20.037 -11.161 10.767
Y Nd Dy
15 4 1
direct
0.000 0.500 0.099 Y
0.000 0.500 0.299 Y
0.500 0.000 0.500 Y
0.500 0.000 0.701 Y
0.500 0.000 0.901 Y
0.000 0.500 0.500 Y
0.000 0.500 0.901 Y
0.500 0.500 0.600 Y
0.500 0.500 0.000 Y
0.000 0.500 0.701 Y
0.500 0.500 0.199 Y
0.500 0.500 0.801 Y
0.500 0.000 0.299 Y
0.500 0.500 0.400 Y
0.500 0.000 0.099 Y
0.000 0.000 0.600 Nd
0.000 0.000 0.801 Nd
0.000 0.000 0.199 Nd
0.000 0.000 0.400 Nd
0.000 0.000 0.000 Dy
```

- SG: P4/mmm (123)
- Formation enthalpy at 0 K: 2.02 kJ per mole of atoms

[6]
This record from Alexandria via LeMat-Bulk describes crystalline LaSe4 at its relaxed geometry. The functional is PBE-GGA.

Cell and atoms, written as POSCAR:
```
LaSe4
1.0
-3.402 3.402 3.402
3.402 -3.402 3.402
3.402 3.402 -3.402
Se La
4 1
direct
0.500 0.500 0.500 Se
0.000 0.000 0.500 Se
0.000 0.500 0.000 Se
0.500 0.000 0.000 Se
0.000 0.000 0.000 La
```

- Distance to the lowest polymorph of the same formula: 0.000 eV/atom
- SG: Im-3m (229)
- Energy relative to the elements, uncorrected: -0.424 eV per atom

[7]
This record from Alexandria via LeMat-Bulk describes crystalline Ca2PrPt at its relaxed geometry. The functional is PBE-GGA.

Cell and atoms, written as POSCAR:
```
Ca2PrPt
1.0
-3.489 -0.543 1.378
-0.970 -3.374 1.427
1.900 1.878 10.764
Ca Pt Pr
2 1 1
direct
0.112 0.112 0.664 Ca
0.888 0.888 0.336 Ca
0.500 0.500 0.500 Pt
0.000 0.000 0.000 Pr
```

- Distance to the lowest polymorph of the same formula: 0.323 eV/atom
- SG: R-3m (166)
- Formation enthalpy at 0 K: -25.12 kJ per mole of atoms

[8]
This record from Alexandria via LeMat-Bulk describes crystalline YErGa at its relaxed geometry. The functional is PBE-GGA.

Cell and atoms, written as POSCAR:
```
YErGa
1.0
3.455 0.000 0.000
0.000 3.455 0.000
-1.727 -1.727 6.525
Er Y Ga
1 1 1
direct
0.262 0.262 0.523 Er
0.970 0.970 0.941 Y
0.618 0.618 0.236 Ga
```

- Distance to the lowest polymorph of the same formula: 0.031 eV/atom
- SG: I4mm (107)
- Formation enthalpy at 0 K: -37.62 kJ per mole of atoms

| no. | magnetic moment (Bohr magnetons per cell) | calculated density (kg/m³) | raw total energy (eV/atom) |
| --- | --- | --- | --- |
| 1 | 0.00 | 6375 | -3.79 |
| 2 | 0.00 | 8816 | -7.51 |
| 3 | 0.00 | 6195 | -4.38 |
| 4 | 0.00 | 7431 | -5.21 |
| 5 | 0.00 | 5256 | -6.01 |
| 6 | 0.00 | 4795 | -4.20 |
| 7 | 0.00 | 5109 | -3.97 |
| 8 | 0.00 | 6947 | -5.07 |